Entry 1:
This record from the Alexandria database describes an optimized crystal structure of VTcPO2. The functional is PBE+U.

Distance to the lowest polymorph of the same formula in meV per atom: 0.0
Density of states at the Fermi level in states/eV per cell: 2.5
Total DFT energy (no corrections) in eV/cell: -35.8
M_tot in μB per atom: 0.589

Cell: 3.763 3.763 5.309 Å, 90.00 90.00 90.00°
Atoms (fractional coordinates):
V 0.000 0.000 0.000
Tc 0.500 0.500 0.500
P 0.500 0.500 0.000
O 0.000 0.500 0.500
O 0.500 0.000 0.500



Entry 2:
This record from the Alexandria database describes an optimized crystal structure of VTcPO2. The functional is PBE+U.

Distance to the lowest polymorph of the same formula in meV per atom: 108.4
Density of states at the Fermi level in states/eV per cell: 1.8
Total DFT energy (no corrections) in eV/cell: -35.3
M_tot in μB per atom: 0.895

Cell: 3.668 3.668 5.325 Å, 90.00 90.00 90.00°
Atoms (fractional coordinates):
V 0.000 0.000 0.000
Tc 0.500 0.500 0.500
P 0.000 0.000 0.500
O 0.000 0.500 0.000
O 0.500 0.000 0.000



Entry 3:
This record from the Alexandria database describes an optimized crystal structure of VTcP2O. The functional is PBE+U.

Distance to the lowest polymorph of the same formula in meV per atom: 0.0
Density of states at the Fermi level in states/eV per cell: 3.0
Total DFT energy (no corrections) in eV/cell: -32.1
M_tot in μB per atom: 0.687

Cell: 4.756 4.756 3.541 Å, 90.00 90.00 90.00°
Atoms (fractional coordinates):
V 0.000 0.000 0.000
Tc 0.500 0.500 0.500
P 0.000 0.500 0.000
P 0.500 0.000 0.000
O 0.000 0.000 0.500



Entry 4:
This record from the Alexandria database describes an optimized crystal structure of VTcP2O. The functional is PBE+U.

Distance to the lowest polymorph of the same formula in meV per atom: 71.6
Density of states at the Fermi level in states/eV per cell: 3.6
Total DFT energy (no corrections) in eV/cell: -31.8
M_tot in μB per atom: 0.074

Cell: 4.783 4.783 3.674 Å, 90.00 90.00 90.00°
Atoms (fractional coordinates):
V 0.000 0.000 0.000
Tc 0.500 0.500 0.500
P 0.000 0.500 0.500
P 0.500 0.000 0.500
O 0.500 0.500 0.000



Entry 5:
This record from the Alexandria database describes an optimized crystal structure of TcPWO2. The functional is PBE+U.

Distance to the lowest polymorph of the same formula in meV per atom: 71.0
Density of states at the Fermi level in states/eV per cell: 1.2
Total DFT energy (no corrections) in eV/cell: -34.6
M_tot in μB per atom: 0.692

Cell: 3.752 3.752 5.504 Å, 90.00 90.00 90.00°
Atoms (fractional coordinates):
Tc 0.000 0.000 0.000
P 0.000 0.000 0.500
W 0.500 0.500 0.500
O 0.000 0.500 0.000
O 0.500 0.000 0.000



Entry 6:
This record from the Alexandria database describes an optimized crystal structure of TcPWO2. The functional is PBE+U.

Distance to the lowest polymorph of the same formula in meV per atom: 0.0
Density of states at the Fermi level in states/eV per cell: 2.5
Total DFT energy (no corrections) in eV/cell: -34.9
M_tot in μB per atom: 0.944

Cell: 3.821 3.821 5.444 Å, 90.00 90.00 90.00°
Atoms (fractional coordinates):
Tc 0.000 0.000 0.000
P 0.500 0.500 0.000
W 0.500 0.500 0.500
O 0.000 0.500 0.500
O 0.500 0.000 0.500